An optimized crystal structure of TbDyYN3, computed with PBE. Values from VASP.

```
&SYSTEM
  ibrav = 0, nat = 12, ntyp = 4
/
ATOMIC_SPECIES
Tb 158.93 Tb.upf
Dy 162.50 Dy.upf
Y 88.91 Y.upf
N 14.01 N.upf
CELL_PARAMETERS angstrom
5.9974 0.0000 0.0000
0.0000 3.3941 0.0000
-1.3454 0.0000 8.9991
ATOMIC_POSITIONS angstrom
Tb 0.8494 0.8485 1.9335
Tb 3.8025 2.5456 7.0655
Dy 0.8001 0.8485 7.8229
Dy 3.8519 2.5456 1.1762
Y 0.8436 2.5456 4.9476
Y 3.8083 0.8485 4.0515
N -0.7169 0.8485 6.0256
N 1.5714 2.5456 0.1775
N 2.3573 2.5456 3.0989
N 2.2946 0.8485 5.9002
N 3.0805 0.8485 8.8216
N 5.3689 2.5456 2.9735
```

Its final energy is -8.22 eV/atom. The calculation puts the uncorrected formation energy at -1.4367 eV per atom. Its total magnetization is 0.00 μB per cell.

=====

An optimized crystal structure of Tb3DyZr2N6, computed with PBE. Values from VASP.

```
&SYSTEM
  ibrav = 0, nat = 12, ntyp = 4
/
ATOMIC_SPECIES
Tb 158.93 Tb.upf
Dy 162.50 Dy.upf
Zr 91.22 Zr.upf
N 14.01 N.upf
CELL_PARAMETERS angstrom
7.4165 -1.6978 0.0000
7.4165 1.6978 0.0000
-1.5990 0.0000 6.6356
ATOMIC_POSITIONS angstrom
Tb 0.0000 0.0000 0.0000
Tb 3.8751 0.0000 4.4265
Tb 9.3590 0.0000 2.2092
Dy -0.7995 0.0000 3.3178
Zr 4.6739 0.0000 1.0985
Zr 8.5601 0.0000 5.5372
N 1.5277 0.0000 3.9742
N 2.4255 0.0000 0.4847
N 6.9137 0.0000 1.6377
N 6.3204 0.0000 4.9979
N 10.8085 0.0000 6.1510
N 11.7063 0.0000 2.6615
```

Its final energy is -8.83 eV/atom. The calculation puts the uncorrected formation energy at -1.7057 eV per atom. Its total magnetization is 0.00 μB per cell.

=====

An optimized crystal structure of Tb2DyZrN4, computed with PBE. Values from VASP.

```
&SYSTEM
  ibrav = 0, nat = 8, ntyp = 4
/
ATOMIC_SPECIES
Tb 158.93 Tb.upf
Dy 162.50 Dy.upf
Zr 91.22 Zr.upf
N 14.01 N.upf
CELL_PARAMETERS angstrom
5.9229 0.0000 0.0000
0.0000 3.4146 0.0000
-1.9539 0.0000 5.5968
ATOMIC_POSITIONS angstrom
Tb 0.0000 0.0000 0.0000
Tb 2.9615 1.7073 0.0000
Dy -0.9770 1.7073 2.7984
Zr 1.9845 0.0000 2.7984
N 0.0785 0.0000 4.1430
N 1.0431 1.7073 1.4804
N 2.9260 1.7073 4.1164
N 3.8905 0.0000 1.4538
```

Its final energy is -8.67 eV/atom. The calculation puts the uncorrected formation energy at -1.7087 eV per atom. Its total magnetization is 0.00 μB per cell.

=====

An optimized crystal structure of TbDy3Zr2N6, computed with PBE. Values from VASP.

```
&SYSTEM
  ibrav = 0, nat = 12, ntyp = 4
/
ATOMIC_SPECIES
Tb 158.93 Tb.upf
Dy 162.50 Dy.upf
Zr 91.22 Zr.upf
N 14.01 N.upf
CELL_PARAMETERS angstrom
7.3978 -1.6945 0.0000
7.3978 1.6945 0.0000
-1.5829 0.0000 6.6219
ATOMIC_POSITIONS angstrom
Tb 0.0000 0.0000 0.0000
Dy -0.7915 0.0000 3.3109
Dy 4.6627 0.0000 1.1074
Dy 8.5499 0.0000 5.5145
Zr 3.8711 0.0000 4.4049
Zr 9.3415 0.0000 2.2170
N 2.3371 0.0000 0.6502
N 1.6216 0.0000 3.8032
N 6.1165 0.0000 4.9292
N 7.0961 0.0000 1.6927
N 11.5910 0.0000 2.8187
N 10.8755 0.0000 5.9717
```

Its final energy is -8.84 eV/atom. The calculation puts the uncorrected formation energy at -1.7172 eV per atom. Its total magnetization is 0.00 μB per cell.

=====

An optimized crystal structure of TbDy2Zr3N6, computed with PBE. Values from VASP.

```
&SYSTEM
  ibrav = 0, nat = 12, ntyp = 4
/
ATOMIC_SPECIES
Tb 158.93 Tb.upf
Dy 162.50 Dy.upf
Zr 91.22 Zr.upf
N 14.01 N.upf
CELL_PARAMETERS angstrom
2.9000 -5.0145 0.0000
2.9000 5.0145 0.0000
-1.9366 0.0000 5.5246
ATOMIC_POSITIONS angstrom
Tb 0.0000 0.0000 0.0000
Dy 2.9000 1.6718 0.0000
Dy 2.9000 -1.6718 0.0000
Zr 1.9317 3.3408 2.7623
Zr 1.9317 0.0000 2.7623
Zr 1.9317 -3.3408 2.7623
N 0.9703 1.6777 1.4789
N 0.0038 0.0000 4.0448
N 0.9703 -1.6777 1.4789
N 2.8931 1.6777 4.0457
N 3.8595 0.0000 1.4798
N 2.8931 -1.6777 4.0457
```

Its final energy is -9.18 eV/atom. The calculation puts the uncorrected formation energy at -1.7228 eV per atom. Its total magnetization is 0.00 μB per cell.

=====

An optimized crystal structure of TbDy2ZrN4, computed with PBE. Values from VASP.

```
&SYSTEM
  ibrav = 0, nat = 8, ntyp = 4
/
ATOMIC_SPECIES
Tb 158.93 Tb.upf
Dy 162.50 Dy.upf
Zr 91.22 Zr.upf
N 14.01 N.upf
CELL_PARAMETERS angstrom
5.9130 0.0000 0.0000
0.0000 3.4100 0.0000
-1.9518 0.0000 5.5865
ATOMIC_POSITIONS angstrom
Tb 0.0000 0.0000 0.0000
Dy 1.9806 0.0000 2.7932
Dy 2.9565 1.7050 0.0000
Zr -0.9759 1.7050 2.7932
N -0.0312 0.0000 4.1160
N 0.9318 1.7050 1.4478
N 3.0294 1.7050 4.1386
N 3.9923 0.0000 1.4704
```

Its final energy is -8.68 eV/atom. The calculation puts the uncorrected formation energy at -1.7159 eV per atom. Its total magnetization is 0.00 μB per cell.

=====

An optimized crystal structure of Tb2DyZr3N6, computed with PBE. Values from VASP.

```
&SYSTEM
  ibrav = 0, nat = 12, ntyp = 4
/
ATOMIC_SPECIES
Tb 158.93 Tb.upf
Dy 162.50 Dy.upf
Zr 91.22 Zr.upf
N 14.01 N.upf
CELL_PARAMETERS angstrom
2.9027 -5.0195 0.0000
2.9027 5.0195 0.0000
-1.9382 0.0000 5.5326
ATOMIC_POSITIONS angstrom
Tb 2.9027 3.3466 0.0000
Tb 2.9027 -3.3466 0.0000
Dy 2.9027 0.0000 0.0000
Zr -0.9691 0.0000 2.7663
Zr 1.9336 1.6709 2.7663
Zr 1.9336 -1.6709 2.7663
N 0.0004 1.6670 4.0463
N 0.9747 0.0000 1.4853
N 0.0004 -1.6670 4.0463
N 3.8668 1.6670 1.4862
N 2.8924 0.0000 4.0473
N 3.8668 -1.6670 1.4862
```

Its final energy is -9.17 eV/atom. The calculation puts the uncorrected formation energy at -1.7159 eV per atom. Its total magnetization is 0.00 μB per cell.

=====

An optimized crystal structure of TbDyZrN3, computed with PBE. Values from VASP.

```
&SYSTEM
  ibrav = 0, nat = 12, ntyp = 4
/
ATOMIC_SPECIES
Tb 158.93 Tb.upf
Dy 162.50 Dy.upf
Zr 91.22 Zr.upf
N 14.01 N.upf
CELL_PARAMETERS angstrom
5.7185 0.0000 0.0000
0.0000 3.3300 0.0000
-0.9065 0.0000 9.0046
ATOMIC_POSITIONS angstrom
Tb 1.0064 0.8325 2.1004
Tb 3.8056 2.4975 6.9042
Dy 0.9884 0.8325 7.8857
Dy 3.8236 2.4975 1.1189
Zr 0.9777 2.4975 4.9477
Zr 3.8343 0.8325 4.0569
N -0.4237 0.8325 5.8557
N 1.5323 2.4975 0.3561
N 2.4494 2.4975 3.2131
N 2.3625 0.8325 5.7915
N 3.2797 0.8325 8.6485
N 5.2357 2.4975 3.1489
```

Its final energy is -8.59 eV/atom. The calculation puts the uncorrected formation energy at -1.4676 eV per atom. Its total magnetization is 0.00 μB per cell.

=====

An optimized crystal structure of DyTcN3, computed with PBE. Values from VASP.

```
&SYSTEM
  ibrav = 0, nat = 20, ntyp = 3
/
ATOMIC_SPECIES
Dy 162.50 Dy.upf
Tc 98.00 Tc.upf
N 14.01 N.upf
CELL_PARAMETERS angstrom
5.5563 -4.8354 0.0000
5.5563 4.8354 0.0000
-2.4544 0.0000 5.7619
ATOMIC_POSITIONS angstrom
Dy 3.7155 3.9523 4.3214
Dy 4.9427 2.0095 1.4405
Dy 3.7155 -2.0095 4.3214
Dy 4.9427 -3.9523 1.4405
Tc 1.3140 0.8409 4.4917
Tc 2.5413 -0.8409 1.6108
Tc 6.1170 0.8409 4.1512
Tc 7.3442 -0.8409 1.2702
N -0.3810 1.0442 3.8073
N 2.1365 2.3959 4.8434
N 0.8462 -1.0442 0.9264
N 3.6830 0.1371 0.4669
N 2.4558 -0.1371 3.3479
N 5.2945 2.3959 3.7995
N 3.3637 -2.3959 1.9624
N 6.2024 0.1371 2.4140
N 4.9752 -0.1371 5.2950
N 7.8120 1.0442 4.8356
N 6.5217 -2.3959 0.9185
N 9.0392 -1.0442 1.9546
```

Its final energy is -8.58 eV/atom. The calculation puts the uncorrected formation energy at -0.5913 eV per atom. Its total magnetization is 0.00 μB per cell.

=====

An optimized crystal structure of DyTcN3, computed with PBE. Values from VASP.

```
&SYSTEM
  ibrav = 0, nat = 20, ntyp = 3
/
ATOMIC_SPECIES
Dy 162.50 Dy.upf
Tc 98.00 Tc.upf
N 14.01 N.upf
CELL_PARAMETERS angstrom
6.4155 0.0000 0.0000
0.0000 9.5528 0.0000
0.0000 0.0000 5.0511
ATOMIC_POSITIONS angstrom
Dy 0.0000 0.0000 0.0000
Dy 0.0000 4.7764 0.0000
Dy 3.2077 0.0000 2.5255
Dy 3.2077 4.7764 2.5255
Tc 1.1730 2.3882 2.2394
Tc 2.0347 7.1646 4.7649
Tc 4.3808 2.3882 0.2862
Tc 5.2424 7.1646 2.8117
N 0.2227 7.1646 4.1404
N 1.0795 0.8464 3.1467
N 1.0795 3.9299 3.1467
N 2.1282 5.6228 0.6211
N 2.1282 8.7063 0.6211
N 2.9850 2.3882 1.6149
N 3.4304 7.1646 3.4362
N 4.2872 0.8464 4.4299
N 4.2872 3.9299 4.4299
N 5.3360 5.6228 1.9044
N 5.3360 8.7063 1.9044
N 6.1927 2.3882 0.9107
```

Its final energy is -8.52 eV/atom. The calculation puts the uncorrected formation energy at -0.5273 eV per atom. Its total magnetization is 0.00 μB per cell.

=====

An optimized crystal structure of DyTcN2, computed with PBE. Values from VASP.

```
&SYSTEM
  ibrav = 0, nat = 4, ntyp = 3
/
ATOMIC_SPECIES
Dy 162.50 Dy.upf
Tc 98.00 Tc.upf
N 14.01 N.upf
CELL_PARAMETERS angstrom
1.5986 0.9229 5.5134
-1.5986 0.9229 5.5134
0.0000 -1.8459 5.5134
ATOMIC_POSITIONS angstrom
Dy 0.0000 0.0000 0.0000
Tc 0.0000 0.0000 2.9236
N 0.0000 0.0000 6.9869
N 0.0000 0.0000 9.5134
```

The relative energy among the computed polymorphs comes out at 502 meV/atom. Its final energy is -8.30 eV/atom. The calculation puts the uncorrected formation energy at -0.3968 eV per atom. Its total magnetization is 1.06 μB per cell.

=====

An optimized crystal structure of Dy12Tc3N5, computed with PBE. Values from VASP.

```
&SYSTEM
  ibrav = 0, nat = 80, ntyp = 3
/
ATOMIC_SPECIES
Dy 162.50 Dy.upf
Tc 98.00 Tc.upf
N 14.01 N.upf
CELL_PARAMETERS angstrom
-7.5801 7.5801 7.5801
7.5801 -7.5801 7.5801
7.5801 7.5801 -7.5801
ATOMIC_POSITIONS angstrom
Dy 2.3056 -0.4304 0.8015
Dy 9.0645 4.5916 -4.2204
Dy 9.8858 0.4304 0.8015
Dy 9.0645 -2.9886 4.2204
Dy 7.1498 -0.8015 2.3056
Dy 11.8006 -1.4844 2.9886
Dy 0.8015 2.3056 -0.4304
Dy 10.5687 3.3597 -1.4844
Dy 4.5916 4.2204 -1.4844
Dy 6.7786 2.3056 0.4304
Dy -0.4304 0.8015 2.3056
Dy 4.2204 -1.4844 4.5916
Dy 7.1498 6.7786 -2.3056
Dy 4.2204 1.4844 2.9886
Dy 4.5916 -4.2204 9.0645
Dy 6.7786 -2.3056 7.1498
Dy 2.9886 4.2204 1.4844
Dy 8.3816 5.2745 0.4304
Dy 4.2204 9.0645 -2.9886
Dy 7.1498 0.8015 5.2745
Dy 2.3056 7.1498 -0.8015
Dy 9.0645 2.9886 3.3597
Dy 1.4844 2.9886 4.2204
Dy 2.3056 0.4304 6.7786
Dy 5.2745 7.1498 0.8015
Dy 6.0957 4.5916 3.3597
Dy -1.4844 4.5916 4.2204
Dy 5.2745 0.4304 8.3816
Dy 0.4304 6.7786 2.3056
Dy 3.3597 -1.4844 10.5687
Dy -0.8015 2.3056 7.1498
Dy 4.5916 3.3597 6.0957
Dy 0.8015 9.8858 0.4304
Dy 2.9886 11.8006 -1.4844
Dy 3.3597 6.0957 4.5916
Dy 0.4304 0.8015 9.8858
Dy 3.3597 9.0645 2.9886
Dy 8.0105 6.7786 5.2745
Dy 0.8015 5.2745 7.1498
Dy 2.9886 3.3597 9.0645
Dy -2.9886 4.2204 9.0645
Dy 6.7786 5.2745 8.0105
Dy -4.2204 9.0645 4.5916
Dy 0.4304 8.3816 5.2745
Dy -1.4844 10.5687 3.3597
Dy -2.3056 7.1498 6.7786
Dy -1.4844 2.9886 11.8006
Dy 5.2745 8.0105 6.7786
Tc 3.7901 1.8950 0.0000
Tc 7.5801 3.7901 -1.8950
Tc 1.8950 0.0000 3.7901
Tc 9.4752 0.0000 3.7901
Tc 0.0000 3.7901 1.8950
Tc 3.7901 -1.8950 7.5801
Tc 3.7901 9.4752 0.0000
Tc 7.5801 3.7901 5.6851
Tc -1.8950 7.5801 3.7901
Tc 5.6851 7.5801 3.7901
Tc 0.0000 3.7901 9.4752
Tc 3.7901 5.6851 7.5801
N 0.0000 0.0000 0.0000
N 3.7901 3.7901 -3.7901
N 3.7901 -3.7901 3.7901
N 7.5801 0.0000 0.0000
N 11.3702 1.8950 0.0000
N 7.5801 -3.7901 5.6851
N 5.6851 7.5801 -3.7901
N 5.6851 0.0000 3.7901
N 3.7901 5.6851 0.0000
N 7.5801 3.7901 1.8950
N -3.7901 3.7901 3.7901
N 0.0000 7.5801 0.0000
N 0.0000 0.0000 7.5801
N 3.7901 3.7901 3.7901
N 0.0000 3.7901 5.6851
N 3.7901 1.8950 7.5801
N 1.8950 7.5801 3.7901
N 1.8950 0.0000 11.3702
N 0.0000 11.3702 1.8950
N -3.7901 5.6851 7.5801
```

Its final energy is -7.08 eV/atom. The calculation puts the uncorrected formation energy at -0.6863 eV per atom. Its total magnetization is 0.00 μB per cell.

=====

What is the final energy in the ninth record? -8.58 eV/atom

=====

Which formula does entry 8 have? TbDyZrN3

=====

Copy entry 7 word for word.
An optimized crystal structure of Tb2DyZr3N6, computed with PBE. Values from VASP.

```
&SYSTEM
  ibrav = 0, nat = 12, ntyp = 4
/
ATOMIC_SPECIES
Tb 158.93 Tb.upf
Dy 162.50 Dy.upf
Zr 91.22 Zr.upf
N 14.01 N.upf
CELL_PARAMETERS angstrom
2.9027 -5.0195 0.0000
2.9027 5.0195 0.0000
-1.9382 0.0000 5.5326
ATOMIC_POSITIONS angstrom
Tb 2.9027 3.3466 0.0000
Tb 2.9027 -3.3466 0.0000
Dy 2.9027 0.0000 0.0000
Zr -0.9691 0.0000 2.7663
Zr 1.9336 1.6709 2.7663
Zr 1.9336 -1.6709 2.7663
N 0.0004 1.6670 4.0463
N 0.9747 0.0000 1.4853
N 0.0004 -1.6670 4.0463
N 3.8668 1.6670 1.4862
N 2.8924 0.0000 4.0473
N 3.8668 -1.6670 1.4862
```

Its final energy is -9.17 eV/atom. The calculation puts the uncorrected formation energy at -1.7159 eV per atom. Its total magnetization is 0.00 μB per cell.